A relaxed MoPRhS2 crystal. Source: Alexandria, functional PBE.

Lattice parameters (Å, degrees): 4.5799 4.5799 4.7294 90.00 90.00 90.00
With the nearest neighbours (Å) after each atom.
Sites, in units of the cell vectors:
1 Mo 0.0000 0.0000 0.0000  4 S 2.29, 2 P 2.36
2 P 0.0000 0.0000 0.5000  2 Mo 2.36
3 Rh 0.5000 0.5000 0.5000  4 P 3.24, 8 S 3.29
4 S 0.0000 0.5000 0.0000  2 Mo 2.29
5 S 0.5000 0.0000 0.0000  2 Mo 2.29

Output
Formation energy (no corrections) ... 685.0 meV/atom
DOS at the Fermi energy ... 5.5 states/eV/cell
Energy relative to the lowest polymorph listed for this composition ... 0 meV per atom
Uncorrected energy ... -28.4 eV per cell
Space group ... No. 123